An optimized crystal structure of Pr3In2Pd4. Source: Alexandria via LeMat-Bulk, functional PBE-GGA.

Cell lengths 4.611, 5.599, 9.092 Å; angles 94.18, 90.00, 114.31 degrees
Atoms (fractional coordinates):
Pr 0.372 0.744 0.612
Pr 0.000 0.000 0.000
Pr 0.628 0.256 0.388
Pd 0.283 0.567 0.912
Pd 0.717 0.433 0.088
Pd 0.079 0.159 0.631
Pd 0.921 0.841 0.369
In 0.325 0.649 0.218
In 0.675 0.351 0.782

Output
The formation energy comes out at -0.73 eV per atom. The total magnetic moment is 0.0000 μB/atom. As for the space group: C2/m (12). The density of states at the Fermi level is 6.5 states/eV/f.u.